# Al2CuRe

Al2CuRe after structural relaxation (PBE, Alexandria via LeMat-Bulk).

a = 4.9581 Å, b = 4.9581 Å, c = 4.9581 Å
α = 137.31°, β = 137.31°, γ = 61.96°
Closest atoms and distances in Å follow each position.
Positions (direct):
Re1 0.2499 0.7499 0.5000  8 Al 2.55-2.79, 4 Cu 2.79
Al1 0.0000 0.0000 0.0000  4 Cu 2.55, 4 Re 2.79, 4 Al 2.79
Al2 0.7501 0.2501 0.5000  4 Re 2.55, 4 Cu 2.79, 4 Al 2.79
Cu1 0.4999 0.4999 0.0000  8 Al 2.55-2.79, 4 Re 2.79

Electronic total energy in eV/atom: -6.177

=====

# AlCuRe2

AlCuRe2 after structural relaxation (PBE, Alexandria via LeMat-Bulk).

a = 2.6554 Å, b = 2.6554 Å, c = 8.0407 Å
α = 90.00°, β = 90.00°, γ = 90.00°
Closest atoms and distances in Å follow each position.
Positions (direct):
Re1 0.0000 0.0000 0.9960  4 Re 2.66, 4 Cu 2.73, 4 Al 2.77
Re2 0.0000 0.0000 0.5040  4 Re 2.66, 4 Cu 2.73, 4 Al 2.77
Al1 0.5000 0.5000 0.2500  4 Al 2.66, 8 Re 2.77
Cu1 0.5000 0.5000 0.7500  4 Cu 2.66, 8 Re 2.73

Electronic total energy in eV/atom: -7.949

=====

# AlCuRe2

AlCuRe2 after structural relaxation (PBE, Alexandria via LeMat-Bulk).

a = 8.8907 Å, b = 8.8907 Å, c = 8.8907 Å
α = 17.80°, β = 17.80°, γ = 17.80°
Closest atoms and distances in Å follow each position.
Positions (direct):
Re1 0.0004 0.0004 0.0004  3 Cu 2.70, 3 Al 2.71, 6 Re 2.75
Re2 0.4996 0.4996 0.4996  3 Cu 2.70, 3 Al 2.71, 6 Re 2.75
Al1 0.2500 0.2500 0.2500  6 Re 2.71, 6 Al 2.75
Cu1 0.7500 0.7500 0.7500  6 Re 2.70, 6 Cu 2.75

Electronic total energy in eV/atom: -8.052

=====

# AlCu4Re

AlCu4Re after structural relaxation (PBE, Alexandria via LeMat-Bulk).

a = 4.7743 Å, b = 4.7743 Å, c = 4.7743 Å
α = 60.00°, β = 60.00°, γ = 60.00°
Closest atoms and distances in Å follow each position.
Positions (direct):
Al1 0.0000 0.0000 0.0000  12 Cu 2.80, 4 Re 2.92
Cu1 0.8749 0.3750 0.3750  6 Cu 2.39
Cu2 0.3750 0.3750 0.8749  6 Cu 2.39
Cu3 0.3750 0.8749 0.3750  6 Cu 2.39
Cu4 0.3750 0.3750 0.3750  6 Cu 2.39
Re1 0.7500 0.7500 0.7500  12 Cu 2.80, 4 Al 2.92

Electronic total energy in eV/atom: -5.206

=====

# AlCu2Re2

AlCu2Re2 after structural relaxation (PBE, Alexandria via LeMat-Bulk).

a = 6.6445 Å, b = 6.6445 Å, c = 3.4246 Å
α = 90.00°, β = 90.00°, γ = 90.00°
Closest atoms and distances in Å follow each position.
Positions (direct):
Re1 0.3738 0.8738 0.0000  1 Re 2.37, 6 Cu 2.54-2.65, 2 Al 2.62
Re2 0.8738 0.6262 0.0000  1 Re 2.37, 6 Cu 2.54-2.65, 2 Al 2.62
Re3 0.6262 0.1262 0.0000  1 Re 2.37, 6 Cu 2.54-2.65, 2 Al 2.62
Re4 0.1262 0.3738 0.0000  1 Re 2.37, 6 Cu 2.54-2.65, 2 Al 2.62
Al1 0.0000 0.0000 0.0000  4 Re 2.62
Al2 0.5000 0.5000 0.0000  4 Re 2.62
Cu1 0.1738 0.6738 0.5000  6 Re 2.54-2.65
Cu2 0.6738 0.8262 0.5000  6 Re 2.54-2.65
Cu3 0.8262 0.3262 0.5000  6 Re 2.54-2.65
Cu4 0.3262 0.1738 0.5000  6 Re 2.54-2.65

Energy relative to the lowest polymorph listed for this composition in eV/atom: 0.117

=====

# AlCuRe2

AlCuRe2 after structural relaxation (PBE, Alexandria via LeMat-Bulk).

a = 2.7276 Å, b = 4.0601 Å, c = 5.1824 Å
α = 90.00°, β = 90.00°, γ = 90.00°
Closest atoms and distances in Å follow each position.
Positions (direct):
Re1 0.0000 0.0000 0.0105  4 Re 2.48-2.73, 4 Al 2.74
Re2 0.0000 0.0000 0.4895  4 Re 2.48-2.73, 4 Al 2.74
Al1 0.5000 0.5000 0.2500  2 Cu 2.59, 2 Al 2.73, 8 Re 2.74
Cu1 0.5000 0.5000 0.7500  2 Al 2.59, 2 Cu 2.73, 8 Re 2.79

Electronic total energy in eV/atom: -7.957

=====

no.,total magnetization (Bohr magnetons per cell)
1,0.000
2,0.000
3,0.000
4,0.000
5,0.000
6,0.000